An optimized crystal structure of TlCo2Br, computed with PBE-GGA.

Structure (CIF):
```
data_TlCo2Br
_cell_length_a 6.763
_cell_length_b 6.763
_cell_length_c 6.763
_cell_angle_alpha 90.00
_cell_angle_beta 90.00
_cell_angle_gamma 90.00
_symmetry_space_group_name_H-M 'F -4 3 m'
_symmetry_Int_Tables_number 216
_symmetry_space_group_name_Hall 'F -4 2 3'
loop_
_atom_site_label
_atom_site_fract_x
_atom_site_fract_y
_atom_site_fract_z
Tl1 0.000 0.000 0.000
Co1 0.000 0.000 0.500
Co2 0.250 0.250 0.750
Br1 0.250 0.250 0.250
```

## Properties
raw formation energy	1.06	eV/atom
energy above the most stable polymorph in this dataset	275.7	kJ/mol of formula units
density of states at the Fermi level	2.31	states/eV/atom

An optimized crystal structure of CsLiCdI4, computed with PBE-GGA.

Structure (CIF):
```
data_CsLiCdI4
_cell_length_a 7.190
_cell_length_b 8.924
_cell_length_c 10.446
_cell_angle_alpha 90.00
_cell_angle_beta 104.50
_cell_angle_gamma 90.00
_symmetry_space_group_name_H-M 'P 1 21/m 1'
_symmetry_Int_Tables_number 11
_symmetry_space_group_name_Hall '-P 2yb'
loop_
_atom_site_label
_atom_site_fract_x
_atom_site_fract_y
_atom_site_fract_z
Cs1 0.224 0.250 0.086
Li1 0.318 0.250 0.687
Cd1 0.184 0.750 0.324
I1 0.082 0.010 0.726
I2 0.352 0.750 0.097
I3 0.481 0.250 0.473
```

## Properties
raw formation energy	-1.04	eV/atom
density of states at the Fermi level	0.00	states/eV/atom

An optimized crystal structure of NiS, computed with PBE-GGA.

Structure (CIF):
```
data_NiS
_cell_length_a 9.5575
_cell_length_b 9.5575
_cell_length_c 3.1479
_cell_angle_alpha 90.00
_cell_angle_beta 90.00
_cell_angle_gamma 120.00
_symmetry_space_group_name_H-M 'R 3 m'
_symmetry_Int_Tables_number 160
_symmetry_space_group_name_Hall 'R 3 -2"'
loop_
_atom_site_label
_atom_site_fract_x
_atom_site_fract_y
_atom_site_fract_z
Ni1 0.1764 0.0882 0.0000
S1 0.1092 0.5546 0.1904
```

## Properties
raw formation energy	-0.36	eV/atom
density of states at the Fermi level	0.48	states/eV/atom

An optimized crystal structure of Ga9Rh2, computed with PBE-GGA.

Structure (CIF):
```
data_Ga9Rh2
_cell_length_a 6.475
_cell_length_b 6.474
_cell_length_c 8.863
_cell_angle_alpha 90.00
_cell_angle_beta 93.39
_cell_angle_gamma 90.00
_symmetry_space_group_name_H-M 'P 1 c 1'
_symmetry_Int_Tables_number 7
_symmetry_space_group_name_Hall 'P -2yc'
loop_
_atom_site_label
_atom_site_fract_x
_atom_site_fract_y
_atom_site_fract_z
Ga1 0.000 0.054 0.000
Ga2 0.004 0.261 0.719
Ga3 0.190 0.336 0.452
Ga4 0.320 0.053 0.250
Ga5 0.358 0.267 0.943
Ga6 0.516 0.476 0.703
Ga7 0.595 0.132 0.531
Ga8 0.790 0.446 0.986
Ga9 0.810 0.239 0.266
Rh1 0.147 0.380 0.157
Rh2 0.666 0.124 0.819
```

## Properties
formation energy	-348	meV/atom
density of states at the Fermi level	0.25	states/eV/atom